K3MnBr2F6 | GGA+U | relaxed

Structure (POSCAR):
```
K3MnBr2F6
1.0
6.8554 -3.1089 0.0000
6.8554 3.1089 0.0000
-0.0048 0.0000 6.1793
K Mn Br F
3 1 2 6
Direct
0.0000 0.0000 0.0000 K
0.0000 0.5000 0.5000 K
0.5000 0.0000 0.5000 K
0.5000 0.5000 0.5000 Mn
0.2392 0.2392 0.9808 Br
0.7608 0.7608 0.0192 Br
0.2301 0.6571 0.6692 F
0.3429 0.7699 0.3308 F
0.3873 0.3873 0.3354 F
0.6127 0.6127 0.6646 F
0.6571 0.2301 0.6692 F
0.7699 0.3429 0.3308 F
```

Magnetization, μB/f.u.: 3.2
Space-group type: No. 12
Calculated total energy, eV per atom: -4.230